Entry 1:
{
  "formula": "Ca2TaTiN4",
  "functional": "GGA-PBE",
  "state": "optimized geometry",
  "m_tot_mub_per_fu": 0.00,
  "dos_ef_per_ev_cell": 1.61,
  "final_energy_ev_per_atom": -8.468,
  "crystal_system": "monoclinic",
  "e_form_raw_ev_per_atom": -1.336,
  "lattice_angstrom": [[-0.4714, 2.4904, -1.8965], [-5.4094, -0.4878, 0.7040], [2.0677, 3.5380, 4.1321]],
  "species": ["Ca", "Ca", "Ta", "Ti", "N", "N", "N", "N"],
  "fractional_positions": [[0.5000, 0.0000, 0.5000], [0.0000, 0.5000, 0.5000], [0.5000, 0.5000, 0.0000], [0.0000, 0.0000, 0.0000], [0.5000, 0.2375, 0.2071], [0.5000, 0.7625, 0.7929], [0.0000, 0.2650, 0.7897], [0.0000, 0.7350, 0.2103]]
}

---

Entry 2:
{
  "formula": "TlIn2SnH",
  "functional": "GGA-PBE",
  "state": "optimized geometry",
  "e_above_lowest_polymorph_mev_per_atom": 0,
  "m_tot_mub_per_fu": 0.00,
  "dos_ef_per_ev_cell": 2.37,
  "final_energy_ev_per_atom": -2.842,
  "crystal_system": "tetragonal",
  "lattice_angstrom": [[-4.4001, 2.3005, -1.3811], [-1.7839, -4.4896, -1.7950], [-1.7272, -0.9087, 3.9891]],
  "species": ["H", "Tl", "Sn", "In", "In"],
  "fractional_positions": [[0.0000, 0.0000, 0.0000], [0.5000, 0.5000, 0.5000], [0.0000, 0.0000, 0.5000], [0.0000, 0.5000, 0.0000], [0.5000, 0.0000, 0.0000]]
}

---

Entry 3:
{
  "formula": "PaSnGeO6",
  "functional": "GGA-PBE",
  "state": "optimized geometry",
  "m_tot_mub_per_fu": 0.00,
  "dos_ef_per_ev_cell": 4.04,
  "final_energy_ev_per_atom": -7.439,
  "crystal_system": "trigonal",
  "e_form_raw_ev_per_atom": -2.120,
  "lattice_angstrom": [[5.4383, 0.0000, 0.0000], [-2.7192, 4.7097, 0.0000], [0.0000, 0.0000, 9.4387]],
  "species": ["Pa", "Pa", "Sn", "Sn", "Ge", "Ge", "O", "O", "O", "O", "O", "O", "O", "O", "O", "O", "O", "O"],
  "fractional_positions": [[0.3333, 0.6667, 0.2500], [0.6667, 0.3333, 0.7500], [0.0000, 0.0000, 0.0000], [0.0000, 0.0000, 0.5000], [0.6667, 0.3333, 0.2500], [0.3333, 0.6667, 0.7500], [0.6669, 0.6327, 0.1354], [0.9658, 0.3331, 0.1354], [0.3331, 0.9658, 0.6354], [0.0342, 0.6669, 0.8646], [0.3673, 0.3331, 0.3646], [0.9658, 0.6327, 0.3646], [0.6327, 0.9658, 0.8646], [0.6669, 0.0342, 0.3646], [0.0342, 0.3673, 0.6354], [0.3673, 0.0342, 0.1354], [0.6327, 0.6669, 0.6354], [0.3331, 0.3673, 0.8646]]
}

---

Entry 4:
{
  "formula": "La4Pr5Cd2",
  "functional": "GGA-PBE",
  "state": "optimized geometry",
  "m_tot_mub_per_fu": 0.00,
  "ef_ev_per_atom": -0.03,
  "dos_ef_per_ev_cell": 15.09,
  "final_energy_ev_per_atom": -4.159,
  "crystal_system": "monoclinic",
  "lattice_angstrom": [[3.6126, 0.0000, 0.0000], [0.0000, 8.9245, -0.0418], [0.0000, -0.9118, 11.6348]],
  "species": ["La", "La", "La", "La", "Pr", "Pr", "Pr", "Pr", "Pr", "Cd", "Cd"],
  "fractional_positions": [[0.5000, 0.7344, 0.5467], [0.5000, 0.1461, 0.8754], [0.5000, 0.2656, 0.4533], [0.5000, 0.8539, 0.1246], [0.0000, 0.5630, 0.2979], [0.0000, 0.2013, 0.1665], [0.0000, 0.5000, 0.0000], [0.0000, 0.7987, 0.8335], [0.0000, 0.4370, 0.7021], [0.0000, 0.0551, 0.6310], [0.0000, 0.9449, 0.3690]]
}

---

Entry 5:
{
  "formula": "LiTl2FeCo",
  "functional": "GGA-PBE",
  "state": "optimized geometry",
  "m_tot_mub_per_fu": 1.77,
  "ef_ev_per_atom": 1.07,
  "dos_ef_per_ev_cell": 4.01,
  "final_energy_ev_per_atom": -3.372,
  "crystal_system": "tetragonal",
  "lattice_angstrom": [[-2.7737, 4.0643, 0.7197], [-3.0319, -1.5639, -2.8529], [-2.3542, -2.2700, 3.7463]],
  "species": ["Tl", "Tl", "Co", "Fe", "Li"],
  "fractional_positions": [[0.0000, 0.0000, 0.5000], [0.5000, 0.0000, 0.0000], [0.5000, 0.5000, 0.5000], [0.0000, 0.0000, 0.0000], [0.0000, 0.5000, 0.0000]]
}

---

Entry 6:
{
  "formula": "Mg2TlTe",
  "functional": "GGA-PBE",
  "state": "optimized geometry",
  "e_above_lowest_polymorph_mev_per_atom": 61,
  "m_tot_mub_per_fu": 0.00,
  "dos_ef_per_ev_cell": 1.28,
  "final_energy_ev_per_atom": -2.397,
  "crystal_system": "tetragonal",
  "e_form_raw_ev_per_atom": -0.222,
  "lattice_angstrom": [[-4.4945, -1.5228, -4.6023], [1.1231, -3.4836, -5.5048], [1.0358, -0.0375, 6.5288]],
  "species": ["Mg", "Mg", "Te", "Tl"],
  "fractional_positions": [[0.0000, 0.0000, 0.0000], [0.2500, 0.7500, 0.5000], [0.5000, 0.5000, 0.0000], [0.7500, 0.2500, 0.5000]]
}

---

Entry 7:
{
  "formula": "ZnSbPb2",
  "functional": "GGA-PBE",
  "state": "optimized geometry",
  "e_above_lowest_polymorph_mev_per_atom": 48,
  "m_tot_mub_per_fu": 0.00,
  "dos_ef_per_ev_cell": 3.10,
  "final_energy_ev_per_atom": -3.052,
  "crystal_system": "cubic",
  "e_form_raw_ev_per_atom": 0.152,
  "lattice_angstrom": [[0.0000, 3.8259, 3.8259], [3.8259, 0.0000, 3.8259], [3.8259, 3.8259, 0.0000]],
  "species": ["Pb", "Pb", "Sb", "Zn"],
  "fractional_positions": [[0.2500, 0.2500, 0.2500], [0.7500, 0.7500, 0.7500], [0.5000, 0.5000, 0.5000], [0.0000, 0.0000, 0.0000]]
}

---

Entry 8:
{
  "formula": "Y2ScOs",
  "functional": "GGA-PBE",
  "state": "optimized geometry",
  "e_above_lowest_polymorph_mev_per_atom": 89,
  "m_tot_mub_per_fu": 0.00,
  "ef_ev_per_atom": -0.18,
  "dos_ef_per_ev_cell": 2.98,
  "final_energy_ev_per_atom": -7.798,
  "crystal_system": "orthorhombic",
  "lattice_angstrom": [[6.2215, -0.0035, 0.0084], [5.2400, 3.3541, 0.0084], [2.1129, 0.6177, 4.6375]],
  "species": ["Os", "Sc", "Y", "Y"],
  "fractional_positions": [[0.5083, 0.5083, 0.4916], [0.1939, 0.1939, 0.3062], [0.0002, 0.0002, 0.9997], [0.7976, 0.7976, 0.7025]]
}

---

Entry 9:
{
  "formula": "SrTaAg",
  "functional": "GGA-PBE",
  "state": "optimized geometry",
  "e_above_lowest_polymorph_mev_per_atom": 1126,
  "m_tot_mub_per_fu": 2.57,
  "ef_ev_per_atom": 1.36,
  "dos_ef_per_ev_cell": 9.52,
  "final_energy_ev_per_atom": -4.105,
  "crystal_system": "hexagonal",
  "lattice_angstrom": [[4.5728, -2.6401, 0.0000], [0.0000, 5.2803, 0.0000], [0.0000, 0.0000, 6.2900]],
  "species": ["Sr", "Sr", "Ag", "Ag", "Ta", "Ta"],
  "fractional_positions": [[0.3333, 0.6667, 0.2500], [0.6667, 0.3333, 0.7500], [0.0000, 0.0000, 0.0000], [0.0000, 0.0000, 0.5000], [0.3333, 0.6667, 0.7500], [0.6667, 0.3333, 0.2500]]
}

---

Entry 10:
{
  "formula": "Ba7Rh2Au2",
  "functional": "GGA-PBE",
  "state": "optimized geometry",
  "m_tot_mub_per_fu": 0.00,
  "ef_ev_per_atom": -0.27,
  "dos_ef_per_ev_cell": 9.56,
  "final_energy_ev_per_atom": -3.426,
  "crystal_system": "monoclinic",
  "lattice_angstrom": [[7.8321, 0.3767, -0.2928], [-0.3798, 7.6372, -0.7615], [0.1641, 2.5544, 7.2456]],
  "species": ["Ba", "Ba", "Ba", "Ba", "Ba", "Ba", "Ba", "Rh", "Rh", "Au", "Au"],
  "fractional_positions": [[0.2541, 0.0001, 0.4993], [0.7459, 0.5007, 0.9999], [0.7459, 0.9999, 0.5007], [0.2541, 0.4993, 0.0001], [0.0000, 0.0000, 0.0000], [0.7625, 0.5001, 0.5001], [0.2375, 0.4999, 0.4999], [0.9997, 0.2793, 0.2793], [0.0003, 0.7207, 0.7207], [0.5000, 0.2201, 0.7799], [0.5000, 0.7799, 0.2201]]
}

---

Entry 11:
{
  "formula": "AlV2Os",
  "functional": "GGA-PBE",
  "state": "optimized geometry",
  "m_tot_mub_per_fu": 0.00,
  "ef_ev_per_atom": -0.23,
  "dos_ef_per_ev_cell": 2.82,
  "final_energy_ev_per_atom": -8.528,
  "crystal_system": "tetragonal",
  "lattice_angstrom": [[-0.0976, 0.7400, -3.8928], [3.4071, -1.5165, -0.3737], [-1.5592, -3.3554, -0.5988]],
  "species": ["Os", "Al", "V", "V"],
  "fractional_positions": [[0.5000, 0.0000, 0.0000], [0.5000, 0.5000, 0.5000], [0.0000, 0.0000, 0.5000], [0.0000, 0.5000, 0.0000]]
}

---

Entry 12:
{
  "formula": "Er3Co2",
  "functional": "GGA-PBE",
  "state": "optimized geometry",
  "e_above_lowest_polymorph_mev_per_atom": 8,
  "m_tot_mub_per_fu": 0.00,
  "ef_ev_per_atom": -0.18,
  "dos_ef_per_ev_cell": 5.08,
  "final_energy_ev_per_atom": -5.760,
  "crystal_system": "orthorhombic",
  "lattice_angstrom": [[3.8690, 0.0000, 0.0000], [0.0000, 3.6918, -1.1783], [0.0000, 0.3489, 7.4661]],
  "species": ["Er", "Er", "Er", "Co", "Co"],
  "fractional_positions": [[0.0000, 0.8488, 0.6976], [0.5000, 0.5000, 0.0000], [0.0000, 0.1512, 0.3024], [0.5000, 0.7008, 0.4016], [0.5000, 0.2992, 0.5984]]
}

---

Entry 13:
{
  "formula": "MgSbTe2",
  "functional": "GGA-PBE",
  "state": "optimized geometry",
  "e_above_lowest_polymorph_mev_per_atom": 72,
  "m_tot_mub_per_fu": 0.00,
  "dos_ef_per_ev_cell": 0.57,
  "final_energy_ev_per_atom": -3.288,
  "crystal_system": "orthorhombic",
  "e_form_raw_ev_per_atom": -0.288,
  "lattice_angstrom": [[-5.1133, 0.2354, 1.5804], [0.3547, -0.7869, -5.2871], [-2.3803, -4.6358, -1.2052]],
  "species": ["Mg", "Sb", "Te", "Te"],
  "fractional_positions": [[0.5000, 0.0000, 0.5000], [0.0000, 0.5000, 0.5000], [0.0000, 0.0000, 0.0000], [0.5000, 0.5000, 0.0000]]
}